1.
VASP calculation (PBE) on an optimized crystal structure of MgSiPt2.

The value obtained for the total magnetization is 0.00 Bohr magnetons per cell. For the calculated total energy, the calculation gives -5.401 eV per atom. The value obtained for the volume is 62.8 Å³/f.u.

It has space group Pm (No. 6), with a = 2.982 Å, b = 4.433 Å, c = 4.977 Å, α = 90.00°, β = 107.26° and γ = 90.00°. The distinct sites, in fractional coordinates, are Mg at (0.000, 0.000, 0.000), Si at (0.359, 0.500, 0.719), Pt at (0.270, 0.000, 0.536) and Pt at (0.619, 0.500, 0.240).

***

2.
VASP calculation (PBE) on an optimized crystal structure of MgSiPt2.

The value obtained for the total magnetization is 0.00 Bohr magnetons per cell. For the calculated total energy, the calculation gives -5.418 eV per atom. The value obtained for the volume is 59.6 Å³/f.u.

It has space group Cmmm (No. 65), with a = 5.732 Å, b = 6.097 Å, c = 3.412 Å, α = 90.00°, β = 90.00° and γ = 90.00°. The distinct sites, in fractional coordinates, are Mg at (0.000, 0.000, 0.000), Si at (0.000, 0.500, 0.000) and Pt at (0.250, 0.250, 0.500).

***

3.
VASP calculation (PBE) on an optimized crystal structure of MgSiPt2.

The value obtained for the total magnetization is 0.00 Bohr magnetons per cell. For the calculated total energy, the calculation gives -5.069 eV per atom. The value obtained for the volume is 63.2 Å³/f.u.

It has space group F-43m (No. 216), with a = 6.322 Å, b = 6.322 Å, c = 6.322 Å, α = 90.00°, β = 90.00° and γ = 90.00°. The distinct sites, in fractional coordinates, are Mg at (0.000, 0.000, 0.000), Si at (0.250, 0.250, 0.250), Pt at (0.000, 0.000, 0.500) and Pt at (0.250, 0.250, 0.750).

***

4.
VASP calculation (PBE) on an optimized crystal structure of MgSiPt.

The value obtained for the total magnetization is 0.00 Bohr magnetons per cell. For the calculated total energy, the calculation gives -4.713 eV per atom. The value obtained for the volume is 51.3 Å³/f.u.

It has space group P3m1 (No. 156), with a = 3.1272 Å, b = 3.1272 Å, c = 6.0625 Å, α = 90.00°, β = 90.00° and γ = 120.00°. The distinct sites, in fractional coordinates, are Mg at (0.0000, 0.0000, 0.0000), Si at (0.3333, 0.6667, 0.6265) and Pt at (0.6667, 0.3333, 0.3568).

***

5.
VASP calculation (PBE) on an optimized crystal structure of MgSi3Pt3.

The value obtained for the total magnetization is 0.00 Bohr magnetons per cell. The energy above the most stable polymorph in this dataset is 0.0 meV/atom. For the calculated total energy, the calculation gives -5.661 eV per atom. The value obtained for the volume is 146.8 Å³/f.u.

It has space group P6_3/m (No. 176), with a = 10.3137 Å, b = 10.3137 Å, c = 3.1866 Å, α = 90.00°, β = 90.00° and γ = 120.00°. The distinct sites, in fractional coordinates, are Mg at (0.3333, 0.6667, 0.2500), Si at (0.0582, 0.6276, 0.7500) and Pt at (0.1376, 0.4330, 0.7500).

***

6.
VASP calculation (PBE) on an optimized crystal structure of MgSiPt2.

The value obtained for the total magnetization is 0.00 Bohr magnetons per cell. For the calculated total energy, the calculation gives -5.444 eV per atom. The value obtained for the volume is 60.6 Å³/f.u.

It has space group Cm (No. 8), with a = 9.073 Å, b = 3.219 Å, c = 4.325 Å, α = 90.00°, β = 106.44° and γ = 90.00°. The distinct sites, in fractional coordinates, are Mg at (0.000, 0.000, 0.000), Si at (0.261, 0.500, 0.373), Pt at (0.255, 0.000, 0.853) and Pt at (0.486, 0.000, 0.475).

***

7.
VASP calculation (PBE) on an optimized crystal structure of MgSiPt.

The value obtained for the total magnetization is 0.00 Bohr magnetons per cell. For the calculated total energy, the calculation gives -4.974 eV per atom. The value obtained for the volume is 53.6 Å³/f.u.

It has space group P2_1/m (No. 11), with a = 4.527 Å, b = 4.212 Å, c = 5.703 Å, α = 90.00°, β = 99.65° and γ = 90.00°. The distinct sites, in fractional coordinates, are Mg at (0.241, 0.250, 0.488), Si at (0.325, 0.250, 0.979) and Pt at (0.203, 0.750, 0.179).

***

8.
VASP calculation (PBE) on an optimized crystal structure of MgSi2Pt2.

The value obtained for the total magnetization is 0.00 Bohr magnetons per cell. For the calculated total energy, the calculation gives -5.563 eV per atom. The value obtained for the volume is 84.7 Å³/f.u.

It has space group Pnma (No. 62), with a = 8.341 Å, b = 3.522 Å, c = 11.531 Å, α = 90.00°, β = 90.00° and γ = 90.00°. The distinct sites, in fractional coordinates, are Mg at (0.184, 0.250, 0.203), Si at (0.084, 0.250, 0.443), Si at (0.091, 0.250, 0.863), Pt at (0.059, 0.250, 0.660) and Pt at (0.143, 0.750, 0.995).